# 1
The following is a PBE calculation of a relaxed structure of PmNd2Sm, from Alexandria.

Output
DOS at the Fermi energy	5.416	states/eV/cell
mass density	6.99	g cm⁻³
formation energy	0.013	eV per atom
ΔE to the lowest computed polymorph	1	meV/atom

Lattice parameters (Å, degrees): 3.6608 3.6608 10.3523 90.00 90.00 90.00
Space group P4/mmm (No. 123)
Asymmetric unit:
Pm1 0.0000 0.0000 0.0000 (multiplicity 1)
Nd1 0.5000 0.5000 0.2507 (multiplicity 2)
Sm1 0.0000 0.0000 0.5000 (multiplicity 1)

---

# 2
The following is a PBE calculation of a relaxed structure of Ti12Pt2Rh5, from Alexandria.

Output
DOS at the Fermi energy	40.663	states/eV/cell
mass density	7.34	g cm⁻³
formation energy	-0.343	eV per atom

Lattice parameters (Å, degrees): 13.5275 6.3349 7.8940 90.00 98.36 90.00
Space group C2/m (No. 12)
Asymmetric unit:
Ti1 0.0119 0.0000 0.3063 (multiplicity 4)
Ti2 0.0861 0.5000 0.8401 (multiplicity 4)
Ti3 0.1356 0.2287 0.5630 (multiplicity 8)
Ti4 0.1853 0.2490 0.1441 (multiplicity 8)
Pt1 0.0000 0.2148 0.0000 (multiplicity 4)
Rh1 0.0000 0.5000 0.5000 (multiplicity 2)
Rh2 0.1759 0.0000 0.8793 (multiplicity 4)
Rh3 0.2307 0.0000 0.3772 (multiplicity 4)

---

# 3
The following is a PBE calculation of a relaxed structure of AcZnHgPt, from Alexandria.

Output
DOS at the Fermi energy	13.717	states/eV/cell
mass density	12.05	g cm⁻³
formation energy	-0.424	eV per atom

Lattice parameters (Å, degrees): 7.2376 7.2376 7.2376 90.00 90.00 90.00
Space group F-43m (No. 216)
Asymmetric unit:
Ac1 0.0000 0.0000 0.0000 (multiplicity 4)
Zn1 0.2500 0.2500 0.2500 (multiplicity 4)
Hg1 0.0000 0.0000 0.5000 (multiplicity 4)
Pt1 0.2500 0.2500 0.7500 (multiplicity 4)

---

# 4
The following is a PBE calculation of a relaxed structure of CsPm2CuO4, from Alexandria.

Output
mass density	6.66	g cm⁻³
formation energy (no corrections)	-2345	meV per atom

Lattice parameters (Å, degrees): 3.6288 12.3608 12.2310 90.00 90.00 90.00
Space group Cmcm (No. 63)
Asymmetric unit:
Cs1 0.0000 0.1010 0.2500 (multiplicity 4)
Pm1 0.0000 0.3663 0.0586 (multiplicity 8)
Cu1 0.0000 0.1717 0.7500 (multiplicity 4)
O1 0.0000 0.0000 0.0000 (multiplicity 4)
O2 0.0000 0.2492 0.5953 (multiplicity 8)
O3 0.0000 0.4059 0.2500 (multiplicity 4)

---

# 5
The following is a PBE calculation of a relaxed structure of Sc2InSb, from Alexandria.

Output
DOS at the Fermi energy	11.683	states/eV/cell
mass density	5.36	g cm⁻³
formation energy (no corrections)	-338	meV per atom
ΔE to the lowest computed polymorph	263	meV/atom

Lattice parameters (Å, degrees): 7.8819 7.8819 6.5090 90.00 90.00 90.00
Space group I-42d (No. 122)
Asymmetric unit:
Sc1 0.2423 0.7500 0.1250 (multiplicity 8)
In1 0.0000 0.0000 0.5000 (multiplicity 4)
Sb1 0.0000 0.0000 0.0000 (multiplicity 4)

---

# 6
The following is a PBE calculation of a relaxed structure of Sm4CoAg, from Alexandria.

Output
DOS at the Fermi energy	26.474	states/eV/cell
mass density	7.17	g cm⁻³
formation energy	-0.049	eV per atom
ΔE to the lowest computed polymorph	128	meV/atom

Lattice parameters (Å, degrees): 9.0510 14.4248 6.7569 90.00 126.27 90.00
Space group C2/c (No. 15)
Asymmetric unit:
Sm1 0.1495 0.2113 0.1495 (multiplicity 8)
Sm2 0.2317 0.0389 0.7327 (multiplicity 8)
Co1 0.0000 0.0825 0.2500 (multiplicity 4)
Ag1 0.0000 0.3768 0.7500 (multiplicity 4)

---

# 7
The following is a PBE calculation of a relaxed structure of TaNb2Mo5, from Alexandria.

Output
DOS at the Fermi energy	10.059	states/eV/cell
mass density	10.57	g cm⁻³
formation energy	-0.137	eV per atom

Lattice parameters (Å, degrees): 4.5447 4.5447 12.8772 90.00 90.00 90.00
Space group I4/mmm (No. 139)
Asymmetric unit:
Ta1 0.0000 0.0000 0.0000 (multiplicity 2)
Nb1 0.0000 0.0000 0.2493 (multiplicity 4)
Mo1 0.0000 0.0000 0.5000 (multiplicity 2)
Mo2 0.0000 0.5000 0.1236 (multiplicity 8)

---

# 8
The following is a PBE calculation of a relaxed structure of Tb2Dy3Cu2, from Alexandria.

Output
DOS at the Fermi energy	16.263	states/eV/cell
mass density	8.52	g cm⁻³
formation energy	-0.119	eV per atom

Lattice parameters (Å, degrees): 12.4531 3.6297 9.0115 90.00 116.88 90.00
Space group C2/m (No. 12)
Asymmetric unit:
Tb1 0.1555 0.0000 0.3132 (multiplicity 4)
Dy1 0.0000 0.5000 0.5000 (multiplicity 2)
Dy2 0.1140 0.5000 0.9433 (multiplicity 4)
Cu1 0.1692 0.0000 0.7298 (multiplicity 4)

---

# 9
The following is a PBE calculation of a relaxed structure of BaInRuO2, from Alexandria.

Output
DOS at the Fermi energy	4.713	states/eV/cell
mass density	5.29	g cm⁻³
formation energy (no corrections)	387	meV per atom

Lattice parameters (Å, degrees): 4.1331 4.1331 7.0788 90.00 90.00 90.00
Space group P4/mmm (No. 123)
Asymmetric unit:
Ba1 0.0000 0.0000 0.0000 (multiplicity 1)
In1 0.0000 0.0000 0.5000 (multiplicity 1)
Ru1 0.5000 0.5000 0.0000 (multiplicity 1)
O1 0.0000 0.5000 0.5000 (multiplicity 2)

---

# 10
The following is a PBE calculation of a relaxed structure of CoGePbAu2, from Alexandria.

Output
DOS at the Fermi energy	5.653	states/eV/cell
mass density	11.49	g cm⁻³
formation energy	0.430	eV per atom

Lattice parameters (Å, degrees): 4.8502 4.8502 4.5007 90.00 90.00 90.00
Space group P4/mmm (No. 123)
Asymmetric unit:
Co1 0.0000 0.0000 0.0000 (multiplicity 1)
Ge1 0.0000 0.0000 0.5000 (multiplicity 1)
Pb1 0.5000 0.5000 0.0000 (multiplicity 1)
Au1 0.0000 0.5000 0.5000 (multiplicity 2)

---

# 11
The following is a PBE calculation of a relaxed structure of Ni2HIrW, from Alexandria.

Output
DOS at the Fermi energy	3.862	states/eV/cell
energy	-36.59	eV for the cell shown
mass density	14.99	g cm⁻³

Lattice parameters (Å, degrees): 3.7355 3.7355 3.9246 90.00 90.00 90.00
Space group P4/mmm (No. 123)
Asymmetric unit:
Ni1 0.0000 0.5000 0.0000 (multiplicity 2)
H1 0.0000 0.0000 0.0000 (multiplicity 1)
Ir1 0.5000 0.5000 0.5000 (multiplicity 1)
W1 0.0000 0.0000 0.5000 (multiplicity 1)

---

# 12
The following is a PBE calculation of a relaxed structure of RbTlIn5, from Alexandria.

Output
DOS at the Fermi energy	2.985	states/eV/cell
mass density	6.00	g cm⁻³
formation energy	-0.006	eV per atom

Lattice parameters (Å, degrees): 4.6024 4.6024 11.2888 90.00 90.00 90.00
Space group P4/mmm (No. 123)
Asymmetric unit:
Rb1 0.0000 0.0000 0.0000 (multiplicity 1)
Tl1 0.0000 0.0000 0.5000 (multiplicity 1)
In1 0.0000 0.5000 0.2777 (multiplicity 4)
In2 0.5000 0.5000 0.5000 (multiplicity 1)